# ZrOs2Ru

Crystalline ZrOs2Ru at its relaxed geometry (PBE, Alexandria via LeMat-Bulk).

```
ZrOs2Ru
1.0
0.0000 3.1811 3.1811
3.1811 0.0000 3.1811
3.1811 3.1811 0.0000
Zr Os Ru
1 2 1
Cartesian
0.0000 0.0000 0.0000
3.1811 3.1811 3.1811
4.7716 4.7716 4.7716
1.5905 1.5905 1.5905
```



# LaTb2Zn2Ga2

Crystalline LaTb2Zn2Ga2 at its relaxed geometry (PBE, Alexandria via LeMat-Bulk).

```
LaTb2Zn2Ga2
1.0
2.2477 1.2977 9.4850
-2.2477 1.2977 9.4850
0.0000 -2.5954 9.4850
La Tb Zn Ga
1 2 2 2
Cartesian
0.0000 0.0000 0.0000
0.0000 0.0000 3.6640
0.0000 0.0000 24.7909
0.0000 0.0000 11.5592
0.0000 0.0000 16.8957
0.0000 0.0000 7.3072
0.0000 0.0000 21.1478
```



# ZrZn2Fe

Crystalline ZrZn2Fe at its relaxed geometry (PBE, Alexandria via LeMat-Bulk).

```
ZrZn2Fe
1.0
3.1289 0.0000 0.0000
0.0000 3.1289 0.0000
0.0000 0.0000 6.4737
Zr Zn Fe
1 2 1
Cartesian
0.0000 0.0000 0.0000
0.0000 0.0000 2.8766
1.5644 1.5644 4.3822
1.5644 1.5644 1.4632
```



# Nb4Mo3Rh

Crystalline Nb4Mo3Rh at its relaxed geometry (PBE, Alexandria via LeMat-Bulk).

```
Nb4Mo3Rh
1.0
3.2350 0.0000 0.0000
0.0000 4.5783 0.0000
0.0000 0.0000 9.0702
Nb Mo Rh
4 3 1
Cartesian
0.0000 0.0000 0.0000
0.0000 0.0000 4.5351
0.0000 2.2892 2.2469
0.0000 2.2892 6.8233
1.6175 0.0000 2.3153
1.6175 0.0000 6.7549
1.6175 2.2892 0.0000
1.6175 2.2892 4.5351
```



# La4Sm5Mg

Crystalline La4Sm5Mg at its relaxed geometry (PBE, Alexandria via LeMat-Bulk).

```
La4Sm5Mg
1.0
3.7200 0.0000 0.0000
0.0000 3.7200 0.0000
0.0000 0.0000 24.6007
La Sm Mg
4 5 1
Cartesian
0.0000 0.0000 2.5604
0.0000 0.0000 7.7007
0.0000 0.0000 16.9000
0.0000 0.0000 22.0403
1.8600 1.8600 0.0000
1.8600 1.8600 5.1290
1.8600 1.8600 10.2272
1.8600 1.8600 14.3735
1.8600 1.8600 19.4717
0.0000 0.0000 12.3004
```



# HoPuZn

Crystalline HoPuZn at its relaxed geometry (PBE, Alexandria via LeMat-Bulk).

```
HoPuZn
1.0
5.0752 0.0000 0.0000
-2.5376 4.3952 0.0000
0.0000 0.0000 3.2505
Ho Pu Zn
1 1 1
Cartesian
0.0000 0.0000 0.0000
2.5376 1.4651 1.3892
0.0000 2.9302 2.3519
```



# CeNbC2

Crystalline CeNbC2 at its relaxed geometry (PBE, Alexandria via LeMat-Bulk).

```
CeNbC2
1.0
3.2959 0.0000 0.0000
-1.6479 2.8543 0.0000
0.0000 0.0000 6.0934
Ce Nb C
1 1 2
Cartesian
0.0000 0.0000 0.0000
0.0000 0.0000 3.0467
0.0000 1.9029 4.3309
1.6479 0.9514 1.7625
```



# PmVCu

Crystalline PmVCu at its relaxed geometry (PBE, Alexandria via LeMat-Bulk).

```
PmVCu
1.0
-1.5780 1.5780 11.7829
1.5780 -1.5780 11.7829
1.5780 1.5780 -11.7829
Pm V Cu
2 2 2
Cartesian
0.0000 0.0000 1.7884
0.0000 0.0000 21.7775
0.0000 0.0000 5.2652
0.0000 0.0000 18.3007
0.0000 0.0000 7.9520
0.0000 0.0000 15.6138
```



The ΔE_f results, record by record, are as follows: 0.23 -0.42 -0.03 -0.20 -0.01 0.06 0.13 0.21 eV/atom.